The following is a DFT calculation (PBE) of a geometry-optimized Li4Ca5Pt4 structure.

## Properties
formation energy = -8.77 eV/f.u.
energy = -3.89 eV per atom

Lattice parameters (Å, degrees): 4.218 8.413 8.413 86.40 75.48 75.48
Atoms (fractional coordinates):
Ca (0.710, 0.919, 0.661)
Ca (0.371, 0.339, 0.919)
Ca (0.629, 0.661, 0.081)
Ca (0.000, 0.000, 0.000)
Ca (0.290, 0.081, 0.339)
Pt (0.940, 0.807, 0.312)
Pt (0.060, 0.193, 0.688)
Pt (0.747, 0.312, 0.193)
Pt (0.253, 0.688, 0.807)
Li (0.577, 0.317, 0.528)
Li (0.423, 0.683, 0.472)
Li (0.895, 0.528, 0.683)
Li (0.105, 0.472, 0.317)